PBE-GGA Tm4CuPd3, relaxed; formation energy = -798 meV per atom; ρ = 10.23 g/cm3
1.0
3.6627 0.0000 0.0000
0.0000 4.5246 0.0000
0.0000 0.0000 10.3677
Tm Cu Pd
4 1 3
Direct
0.0000 0.0000 0.0000
0.0000 0.5000 0.2766
0.5000 0.0000 0.4991
0.5000 0.5000 0.7762
0.0000 0.0000 0.7169
0.0000 0.5000 0.5593
0.5000 0.0000 0.2253
0.5000 0.5000 0.0495

***

PBE-GGA TmCu3Pd7, relaxed; formation energy = -108 meV per atom; ρ = 10.05 g/cm3
1.0
4.2253 -4.6193 0.0000
4.2253 4.6193 0.0000
-2.0198 0.0000 4.6758
Tm Cu Pd
1 3 7
Direct
0.0000 0.0000 0.0000
0.2716 0.7284 0.5000
0.5000 0.5000 0.0000
0.7284 0.2716 0.5000
0.0000 0.0000 0.5000
0.0934 0.5445 0.8086
0.3212 0.3212 0.4394
0.4555 0.9066 0.1914
0.5445 0.0934 0.8086
0.6788 0.6788 0.5606
0.9066 0.4555 0.1914

***

PBE-GGA Tm2CuPd, relaxed; formation energy = -619 meV per atom; ρ = 10.32 g/cm3
1.0
3.4304 0.0000 0.0000
0.0000 3.4304 0.0000
0.0000 0.0000 6.9466
Tm Cu Pd
2 1 1
Direct
0.0000 0.0000 0.2473
0.0000 0.0000 0.7527
0.5000 0.5000 0.0000
0.5000 0.5000 0.5000

***

PBE-GGA Tm4CuPd2, relaxed; formation energy = -551 meV per atom; ρ = 9.80 g/cm3
1.0
-3.4175 3.4175 3.4521
3.4175 -3.4175 3.4521
3.4175 3.4175 -3.4521
Tm Cu Pd
4 1 2
Direct
0.0000 0.0000 0.5000
0.0000 0.5000 0.0000
0.5000 0.0000 0.0000
0.5000 0.5000 0.5000
0.0000 0.0000 0.0000
0.0000 0.5000 0.5000
0.5000 0.0000 0.5000

***

PBE-GGA TmCu2Pd7, relaxed; formation energy = 86 meV per atom; ρ = 8.81 g/cm3
1.0
3.5918 -6.1793 0.0000
3.5918 6.1793 0.0000
0.0000 0.0000 4.4216
Tm Cu Pd
1 2 7
Direct
0.0000 0.0000 0.0000
0.3011 0.6989 0.5000
0.6989 0.3011 0.5000
0.0683 0.3030 0.5000
0.2179 0.7821 0.0000
0.3030 0.0683 0.5000
0.5000 0.5000 0.5000
0.6970 0.9317 0.5000
0.7821 0.2179 0.0000
0.9317 0.6970 0.5000

***

PBE-GGA Tm3CuPd12, relaxed; formation energy = -681 meV per atom; ρ = 11.54 g/cm3
1.0
4.0659 0.0000 0.0000
0.0000 4.0659 0.0000
0.0000 0.0000 16.0866
Tm Cu Pd
3 1 12
Direct
0.0000 0.0000 0.0000
0.0000 0.0000 0.2569
0.0000 0.0000 0.7431
0.0000 0.0000 0.5000
0.0000 0.5000 0.1286
0.0000 0.5000 0.3854
0.0000 0.5000 0.6146
0.0000 0.5000 0.8714
0.5000 0.0000 0.1286
0.5000 0.0000 0.3854
0.5000 0.0000 0.6146
0.5000 0.0000 0.8714
0.5000 0.5000 0.0000
0.5000 0.5000 0.2571
0.5000 0.5000 0.5000
0.5000 0.5000 0.7429